The following is a DFT calculation (GGA+U) of an optimized crystal structure of BaCr3Se4O12.

Cell: 6.7085 6.7085 6.7085 Å, 103.68 103.68 103.68°
Last column: nearest neighbours and their distance in Å.
Sites, in units of the cell vectors:
Ba1 0.0000 0.0000 0.0000  6 O 2.73
Cr1 0.5832 0.4168 0.0000  4 O 1.95-1.96
Cr2 0.4168 0.0000 0.5832  4 O 1.95-1.96
Cr3 0.0000 0.5832 0.4168  4 O 1.95-1.96
Se1 0.8884 0.1116 0.5000  3 O 1.79-1.91
Se2 0.1116 0.5000 0.8884  3 O 1.79-1.91
Se3 0.5000 0.8884 0.1116  3 O 1.79-1.91
Se4 0.5000 0.5000 0.5000  3 O 1.96
O1 0.5000 0.3142 0.6858  2 Cr 1.95, 1 Se 1.96
O2 0.9422 0.5000 0.0578  1 Se 1.79
O3 0.0578 0.9422 0.5000  1 Se 1.79
O4 0.5000 0.0578 0.9422  1 Se 1.79
O5 0.3760 0.0433 0.2986  1 Se 1.91, 1 Cr 1.96
O6 0.2986 0.3760 0.0433  1 Se 1.91, 1 Cr 1.96
O7 0.0433 0.2986 0.3760  1 Se 1.91, 1 Cr 1.96
O8 0.6240 0.7014 0.9567  1 Se 1.91, 1 Cr 1.96
O9 0.9567 0.6240 0.7014  1 Se 1.91, 1 Cr 1.96
O10 0.7014 0.9567 0.6240  1 Se 1.91, 1 Cr 1.96
O11 0.6858 0.5000 0.3142  2 Cr 1.95, 1 Se 1.96
O12 0.3142 0.6858 0.5000  2 Cr 1.95, 1 Se 1.96

Values from the calculation:
Symmetry: R32, No. 155

The following is a DFT calculation (GGA+U) of an optimized crystal structure of BaCrSi4O10.

Cell: 7.6385 7.6385 16.4324 Å, 90.00 90.00 90.00°
Last column: nearest neighbours and their distance in Å.
Sites, in units of the cell vectors:
Ba1 0.5000 0.5000 0.5000  8 O 2.76-2.99
Ba2 0.0000 0.0000 0.5000  8 O 2.76-2.99
Ba3 0.0000 0.0000 0.0000  8 O 2.76-2.99
Ba4 0.5000 0.5000 0.0000  8 O 2.76-2.99
Cr1 0.5000 0.0000 0.5943  4 O 2.04
Cr2 0.0000 0.5000 0.9057  4 O 2.04
Cr3 0.0000 0.5000 0.4057  4 O 2.04
Cr4 0.5000 0.0000 0.0943  4 O 2.04
Si1 0.1822 0.2671 0.6551  4 O 1.60-1.65
Si2 0.8178 0.7329 0.6551  4 O 1.60-1.65
Si3 0.2671 0.1822 0.8449  4 O 1.60-1.65
Si4 0.7671 0.3178 0.6551  4 O 1.60-1.65
Si5 0.2329 0.6822 0.6551  4 O 1.60-1.65
Si6 0.3178 0.7671 0.8449  4 O 1.60-1.65
Si7 0.6822 0.2329 0.8449  4 O 1.60-1.65
Si8 0.7329 0.8178 0.8449  4 O 1.60-1.65
Si9 0.3178 0.2329 0.3449  4 O 1.60-1.65
Si10 0.6822 0.7671 0.3449  4 O 1.60-1.65
Si11 0.2329 0.3178 0.1551  4 O 1.60-1.65
Si12 0.7329 0.1822 0.3449  4 O 1.60-1.65
Si13 0.2671 0.8178 0.3449  4 O 1.60-1.65
Si14 0.1822 0.7329 0.1551  4 O 1.60-1.65
Si15 0.8178 0.2671 0.1551  4 O 1.60-1.65
Si16 0.7671 0.6822 0.1551  4 O 1.60-1.65
O1 0.2709 0.1360 0.5911  1 Si 1.60
O2 0.7291 0.8640 0.5911  1 Si 1.60
O3 0.1360 0.2709 0.9089  1 Si 1.60
O4 0.6360 0.2291 0.5911  1 Si 1.60
O5 0.3640 0.7709 0.5911  1 Si 1.60
O6 0.2291 0.6360 0.9089  1 Si 1.60
O7 0.7709 0.3640 0.9089  1 Si 1.60
O8 0.8640 0.7291 0.9089  1 Si 1.60
O9 0.2291 0.3640 0.4089  1 Si 1.60
O10 0.7709 0.6360 0.4089  1 Si 1.60
O11 0.3640 0.2291 0.0911  1 Si 1.60
O12 0.8640 0.2709 0.4089  1 Si 1.60
O13 0.1360 0.7291 0.4089  1 Si 1.60
O14 0.2709 0.8640 0.0911  1 Si 1.60
O15 0.7291 0.1360 0.0911  1 Si 1.60
O16 0.2543 0.0303 0.3623  2 Si 1.65
O17 0.6360 0.7709 0.0911  1 Si 1.60
O18 0.7543 0.5303 0.6377  2 Si 1.65
O19 0.4697 0.2457 0.8623  2 Si 1.65
O20 0.9697 0.2543 0.6377  2 Si 1.65
O21 0.0303 0.7457 0.6377  2 Si 1.65
O22 0.2543 0.9697 0.8623  2 Si 1.65
O23 0.7457 0.0303 0.8623  2 Si 1.65
O24 0.5303 0.7543 0.8623  2 Si 1.65
O25 0.7208 0.7208 0.2500  2 Si 1.63
O26 0.7792 0.2208 0.2500  2 Si 1.63
O27 0.2208 0.7792 0.2500  2 Si 1.63
O28 0.2792 0.2792 0.2500  2 Si 1.63
O29 0.7792 0.7792 0.7500  2 Si 1.63
O30 0.7208 0.2792 0.7500  2 Si 1.63
O31 0.2792 0.7208 0.7500  2 Si 1.63
O32 0.2208 0.2208 0.7500  2 Si 1.63
O33 0.9697 0.7457 0.1377  2 Si 1.65
O34 0.7543 0.4697 0.1377  2 Si 1.65
O35 0.2457 0.5303 0.1377  2 Si 1.65
O36 0.4697 0.7543 0.3623  2 Si 1.65
O37 0.5303 0.2457 0.3623  2 Si 1.65
O38 0.0303 0.2543 0.1377  2 Si 1.65
O39 0.7457 0.9697 0.3623  2 Si 1.65
O40 0.2457 0.4697 0.6377  2 Si 1.65

Values from the calculation:
Symmetry: P4/ncc, No. 130

The following is a DFT calculation (GGA+U) of an optimized crystal structure of BaCrSiO4.

Cell: 5.4453 5.7515 7.0023 Å, 90.00 107.29 90.00°
Last column: nearest neighbours and their distance in Å.
Sites, in units of the cell vectors:
Ba1 0.7156 0.7500 0.9280  4 O 2.56-2.79
Ba2 0.2844 0.2500 0.0720  4 O 2.56-2.79
Cr1 0.7749 0.7500 0.4531  2 O 2.06-2.24
Cr2 0.2251 0.2500 0.5469  2 O 2.06-2.24
Si1 0.2467 0.7500 0.3364  4 O 1.63-1.68
Si2 0.7533 0.2500 0.6636  4 O 1.63-1.68
O1 0.9515 0.4749 0.7048  1 Si 1.65
O2 0.0485 0.9749 0.2952  1 Si 1.65
O3 0.0485 0.5251 0.2952  1 Si 1.65
O4 0.9515 0.0251 0.7048  1 Si 1.65
O5 0.4303 0.7500 0.1822  1 Si 1.68
O6 0.5697 0.2500 0.8178  1 Si 1.68
O7 0.4591 0.7500 0.5575  1 Si 1.63
O8 0.5409 0.2500 0.4425  1 Si 1.63

Values from the calculation:
Symmetry: P2_1/m, No. 11

The following is a DFT calculation (GGA+U) of an optimized crystal structure of Ba2SmCrO6.

Cell: 5.9555 5.9555 5.9555 Å, 60.00 60.00 60.00°
Last column: nearest neighbours and their distance in Å.
Sites, in units of the cell vectors:
O1 0.2274 0.7726 0.7726  1 Cr 1.92
O2 0.7726 0.2274 0.7726  1 Cr 1.92
O3 0.2274 0.7726 0.2274  1 Cr 1.92
O4 0.7726 0.7726 0.2274  1 Cr 1.92
O5 0.7726 0.2274 0.2274  1 Cr 1.92
O6 0.2274 0.2274 0.7726  1 Cr 1.92
Cr1 0.0000 0.0000 0.0000  6 O 1.92
Ba1 0.2500 0.2500 0.2500  12 O 2.98
Ba2 0.7500 0.7500 0.7500  12 O 2.98
Sm1 0.5000 0.5000 0.5000  6 O 2.30

Values from the calculation:
Symmetry: Fm-3m, No. 225

The following is a DFT calculation (GGA+U) of an optimized crystal structure of BaSrSmCrO6.

Cell: 5.9083 5.9083 5.9083 Å, 60.00 60.00 60.00°
Last column: nearest neighbours and their distance in Å.
Sites, in units of the cell vectors:
Ba1 0.2500 0.2500 0.2500  12 O 2.96
Sr1 0.7500 0.7500 0.7500  12 O 2.96
Sm1 0.5000 0.5000 0.5000  6 O 2.28
Cr1 0.0000 0.0000 0.0000  6 O 1.90
O1 0.2276 0.7724 0.2276  1 Cr 1.90
O2 0.7724 0.2276 0.7724  1 Cr 1.90
O3 0.2276 0.7724 0.7724  1 Cr 1.90
O4 0.7724 0.2276 0.2276  1 Cr 1.90
O5 0.2276 0.2276 0.7724  1 Cr 1.90
O6 0.7724 0.7724 0.2276  1 Cr 1.90

Values from the calculation:
Symmetry: F-43m, No. 216

The following is a DFT calculation (GGA+U) of an optimized crystal structure of Ba3CrSn2O8.

Cell: 5.9866 5.9866 7.7428 Å, 90.00 90.00 120.00°
Last column: nearest neighbours and their distance in Å.
Sites, in units of the cell vectors:
Ba1 0.3333 0.6667 0.6399  1 O 2.47
Ba2 0.6667 0.3333 0.3601  1 O 2.47
Ba3 0.0000 0.0000 0.0000  6 O 3.04
Cr1 0.0000 0.0000 0.5000  6 O 2.12
Sn1 0.3333 0.6667 0.2113  4 O 1.95-2.02
Sn2 0.6667 0.3333 0.7887  4 O 1.95-2.02
O1 0.3333 0.6667 0.9594  1 Sn 1.95
O2 0.6667 0.3333 0.0406  1 Sn 1.95
O3 0.1601 0.8399 0.3293  1 Sn 2.02, 1 Cr 2.12
O4 0.8399 0.1601 0.6707  1 Sn 2.02, 1 Cr 2.12
O5 0.1601 0.3201 0.3293  1 Sn 2.02, 1 Cr 2.12
O6 0.8399 0.6799 0.6707  1 Sn 2.02, 1 Cr 2.12
O7 0.6799 0.8399 0.3293  1 Sn 2.02, 1 Cr 2.12
O8 0.3201 0.1601 0.6707  1 Sn 2.02, 1 Cr 2.12

Values from the calculation:
Symmetry: P-3m1, No. 164

The following is a DFT calculation (GGA+U) of an optimized crystal structure of Ba4CrSn3O12.

Cell: 7.1844 7.1844 7.1844 Å, 109.47 109.47 109.47°
Last column: nearest neighbours and their distance in Å.
Sites, in units of the cell vectors:
Ba1 0.5000 0.5000 0.5000  12 O 2.93
Ba2 0.0000 0.0000 0.5000  12 O 2.93
Ba3 0.5000 0.0000 0.0000  12 O 2.93
Ba4 0.0000 0.5000 0.0000  12 O 2.93
Cr1 0.0000 0.0000 0.0000  6 O 2.03
Sn1 0.5000 0.0000 0.5000  6 O 2.07-2.12
Sn2 0.5000 0.5000 0.0000  6 O 2.07-2.12
Sn3 0.0000 0.5000 0.5000  6 O 2.07-2.12
O1 0.2500 0.5000 0.7500  2 Sn 2.07
O2 0.7551 0.0000 0.7551  1 Cr 2.03, 1 Sn 2.12
O3 0.2449 0.0000 0.2449  1 Cr 2.03, 1 Sn 2.12
O4 0.7500 0.5000 0.2500  2 Sn 2.07
O5 0.7551 0.7551 0.0000  1 Cr 2.03, 1 Sn 2.12
O6 0.2449 0.2449 0.0000  1 Cr 2.03, 1 Sn 2.12
O7 0.7500 0.2500 0.5000  2 Sn 2.07
O8 0.2500 0.7500 0.5000  2 Sn 2.07
O9 0.5000 0.2500 0.7500  2 Sn 2.07
O10 0.0000 0.7551 0.7551  1 Cr 2.03, 1 Sn 2.12
O11 0.5000 0.7500 0.2500  2 Sn 2.07
O12 0.0000 0.2449 0.2449  1 Cr 2.03, 1 Sn 2.12

Values from the calculation:
Symmetry: Im-3m, No. 229

The following is a DFT calculation (GGA+U) of an optimized crystal structure of BaCr2SnO8.

Cell: 5.6977 5.6977 7.8909 Å, 90.00 90.00 120.00°
Last column: nearest neighbours and their distance in Å.
Sites, in units of the cell vectors:
Ba1 0.0000 0.0000 0.0000  6 O 2.84
Cr1 0.6667 0.3333 0.2214  4 O 1.65-1.68
Cr2 0.3333 0.6667 0.7786  4 O 1.65-1.68
Sn1 0.0000 0.0000 0.5000  6 O 2.38
O1 0.3333 0.6667 0.9873  1 Cr 1.65
O2 0.3436 0.1789 0.2884  1 Cr 1.68
O3 0.8211 0.1647 0.2884  1 Cr 1.68
O4 0.6667 0.3333 0.0127  1 Cr 1.65
O5 0.1789 0.8353 0.7116  1 Cr 1.68
O6 0.6564 0.8211 0.7116  1 Cr 1.68
O7 0.1647 0.3436 0.7116  1 Cr 1.68
O8 0.8353 0.6564 0.2884  1 Cr 1.68

Values from the calculation:
Symmetry: P-3, No. 147

Total magnetic moment for every record listed, in sequence, given in μB/cell: 8.77; 16.00; 8.00; 1.00; 1.00; 3.97; 1.95; 0.00.
Calculated total energy for every record listed, in sequence, given in eV/cell: -120.45; -498.02; -103.48; -70.04; -69.62; -89.04; -129.22; -79.88.
Density for every record listed, in sequence, given in kg/m3: 4909; 3198; 4463; 6370; 5958; 5731; 6686; 3653.